Entry 1:
First-principles (PBE-GGA) data for a relaxed structure of Nd2Pd5Pb, as listed in Alexandria.

Computed properties:
As for the total energy: -88.5 eV for the cell shown. The density of states at the Fermi level comes out at 0.202 states/eV per atom. The volume is 333.0 Å³ per cell. For the density, the calculation gives 10.25 g/cm3.

abc: 6.4086 6.4086 8.1083
angles: 90.00 90.00 90.00
Space group I4mm (No. 107)
Unique sites:
1 Nd 0.0000 0.5000 0.0000 x4
2 Pd 0.0000 0.0000 0.0047 x2
3 Pd 0.2156 0.2156 0.7389 x8
4 Pb 0.0000 0.0000 0.3695 x2

Entry 2:
First-principles (PBE-GGA) data for a relaxed structure of Nd4PdPb, as listed in Alexandria.

Computed properties:
Its energy above the most stable polymorph in this dataset is 0 meV/atom. The density of states at the Fermi level comes out at 1.092 states/eV per atom. The volume is 375.4 Å³ per cell. For the density, the calculation gives 7.88 g/cm3.

abc: 6.3058 7.0594 8.9964
angles: 90.00 110.38 90.00
Space group P2_1/m (No. 11)
Unique sites:
1 Nd 0.1576 0.2500 0.0778 x2
2 Nd 0.2697 0.7500 0.3754 x2
3 Nd 0.2921 0.5027 0.7756 x4
4 Pd 0.3263 0.7500 0.0582 x2
5 Pb 0.1753 0.2500 0.4426 x2

Entry 3:
First-principles (PBE-GGA) data for a relaxed structure of NdPd4Pb, as listed in Alexandria.

Computed properties:
As for the total energy: -130.3 eV for the cell shown. The density of states at the Fermi level comes out at 0.760 states/eV per atom. The volume is 466.8 Å³ per cell. For the density, the calculation gives 11.06 g/cm3.

abc: 7.7574 7.7574 7.7574
angles: 90.00 90.00 90.00
Space group F-43m (No. 216)
Unique sites:
1 Nd 0.0000 0.0000 0.0000 x4
2 Pd 0.1248 0.1248 0.3752 x16
3 Pb 0.2500 0.2500 0.7500 x4

Entry 4:
First-principles (PBE-GGA) data for a relaxed structure of Nd3Pd4Pb4, as listed in Alexandria.

Computed properties:
As for the total energy: -111.6 eV for the cell shown. The density of states at the Fermi level comes out at 0.650 states/eV per atom. The volume is 539.3 Å³ per cell. For the density, the calculation gives 10.39 g/cm3.

abc: 3.8044 4.9048 28.9012
angles: 90.00 90.00 90.00
Space group Immm (No. 71)
Unique sites:
1 Nd 0.0000 0.0000 0.0000 x2
2 Nd 0.0000 0.5000 0.1482 x4
3 Pd 0.0000 0.0000 0.2631 x4
4 Pd 0.0000 0.5000 0.4049 x4
5 Pb 0.0000 0.0000 0.4470 x4
6 Pb 0.0000 0.5000 0.3088 x4

Entry 5:
First-principles (PBE-GGA) data for a relaxed structure of NdPd2Pb2, as listed in Alexandria.

Computed properties:
As for the total energy: -50.4 eV for the cell shown. The density of states at the Fermi level comes out at 0.406 states/eV per atom. The volume is 246.9 Å³ per cell. For the density, the calculation gives 10.38 g/cm3.

abc: 4.8183 5.0216 10.2030
angles: 90.00 90.07 90.00
Space group P2_1/m (No. 11)
Unique sites:
1 Nd 0.2487 0.2500 0.1810 x2
2 Pd 0.2503 0.7500 0.3329 x2
3 Pd 0.2537 0.7500 0.9908 x2
4 Pb 0.2489 0.2500 0.8390 x2
5 Pb 0.2501 0.2500 0.5131 x2

Entry 6:
First-principles (PBE-GGA) data for a relaxed structure of Nd4Pd2Pb, as listed in Alexandria.

Computed properties:
As for the total energy: -148.9 eV for the cell shown. The density of states at the Fermi level comes out at 0.717 states/eV per atom. The volume is 799.1 Å³ per cell. For the density, the calculation gives 8.29 g/cm3.

abc: 8.9678 15.7605 7.1906
angles: 90.00 128.16 90.00
Space group Cc (No. 9)
Unique sites:
1 Nd 0.0000 0.0263 0.0000 x4
2 Nd 0.2468 0.3261 0.6731 x4
3 Nd 0.4291 0.2478 0.3376 x4
4 Nd 0.4657 0.0418 0.6229 x4
5 Pd 0.1356 0.1670 0.3500 x4
6 Pd 0.2215 0.4118 0.0206 x4
7 Pb 0.2516 0.1346 0.8413 x4

Entry 7:
First-principles (PBE-GGA) data for a relaxed structure of Nd3Pd4Pb, as listed in Alexandria.

Computed properties:
As for the total energy: -87.3 eV for the cell shown. The density of states at the Fermi level comes out at 0.441 states/eV per atom. The volume is 401.5 Å³ per cell. For the density, the calculation gives 8.81 g/cm3.

abc: 3.9100 6.8381 15.0165
angles: 90.00 90.00 90.00
Space group Immm (No. 71)
Unique sites:
1 Nd 0.0000 0.0000 0.0000 x2
2 Nd 0.0000 0.5000 0.1894 x4
3 Pd 0.0000 0.3036 0.3700 x8
4 Pb 0.0000 0.0000 0.5000 x2

Entry 8:
First-principles (PBE-GGA) data for a relaxed structure of Nd6Pd2Pb, as listed in Alexandria.

Computed properties:
As for the total energy: -187.8 eV for the cell shown. The density of states at the Fermi level comes out at 1.085 states/eV per atom. The volume is 1083.3 Å³ per cell. For the density, the calculation gives 7.88 g/cm3.

abc: 9.6338 10.3294 10.8861
angles: 90.00 90.00 90.00
Space group Immm (No. 71)
Unique sites:
1 Nd 0.0000 0.2016 0.2330 x8
2 Nd 0.1975 0.5000 0.1757 x8
3 Nd 0.2094 0.3150 0.5000 x8
4 Pd 0.0000 0.3539 0.0000 x4
5 Pd 0.0000 0.5000 0.3723 x4
6 Pb 0.0000 0.0000 0.0000 x2
7 Pb 0.0000 0.0000 0.5000 x2